#a
First-principles (GGA-PBEsol) data for a relaxed CaYMo2 crystal, as listed in Alexandria.

Geometry as POSCAR:
```
CaYMo2
1.0
2.9408 0.0000 0.0000
0.0000 4.9486 0.0000
-1.3125 0.0000 6.1883
Ca Y Mo
1 1 2
Direct
0.0000 0.0000 0.0000 Ca
0.0000 0.0000 0.5000 Y
0.4747 0.5000 0.6831 Mo
0.5253 0.5000 0.3169 Mo
```

Output
ρ ... 5916 kg/m³
DOS(E_F) ... 3.758 states/eV/cell

#b
First-principles (GGA-PBEsol) data for a relaxed CaYMo2 crystal, as listed in Alexandria.

Geometry as POSCAR:
```
CaYMo2
1.0
-2.0043 2.0043 4.9533
2.0043 -2.0043 4.9533
2.0043 2.0043 -4.9533
Ca Y Mo
1 1 2
Direct
0.0000 0.0000 0.0000 Ca
0.5000 0.5000 0.0000 Y
0.2500 0.7500 0.5000 Mo
0.7500 0.2500 0.5000 Mo
```

Output
ρ ... 6694 kg/m³
DOS(E_F) ... 3.558 states/eV/cell

From most stable to least stable, the computed energies give #a, #b.

#a
First-principles (GGA-PBEsol) data for a relaxed CaZn2Mo crystal, as listed in Alexandria.

Geometry as POSCAR:
```
CaZn2Mo
1.0
5.1670 -1.4186 0.0000
5.1670 1.4186 0.0000
-1.7254 0.0000 4.6419
Ca Zn Mo
1 2 1
Direct
0.0000 0.0000 0.0000 Ca
0.4727 0.4727 0.4979 Zn
0.7598 0.7598 0.1791 Zn
0.2169 0.2169 0.6416 Mo
```

Output
ρ ... 6511 kg/m³
DOS(E_F) ... 2.047 states/eV/cell

#b
First-principles (GGA-PBEsol) data for a relaxed CaZn2Mo crystal, as listed in Alexandria.

Geometry as POSCAR:
```
CaZn2Mo
1.0
-2.3128 2.3128 3.2890
2.3128 -2.3128 3.2890
2.3128 2.3128 -3.2890
Ca Zn Mo
1 2 1
Direct
0.0000 0.0000 0.0000 Ca
0.2500 0.7500 0.5000 Zn
0.7500 0.2500 0.5000 Zn
0.5000 0.5000 0.0000 Mo
```

Output
ρ ... 6296 kg/m³
DOS(E_F) ... 3.253 states/eV/cell

From most stable to least stable, the computed energies give #a, #b.

#a
First-principles (GGA-PBEsol) data for a relaxed CaZrMo2 crystal, as listed in Alexandria.

Geometry as POSCAR:
```
CaZrMo2
1.0
1.6680 -2.3350 0.0000
1.6680 2.3350 0.0000
0.0000 0.0000 9.6947
Ca Zr Mo
1 1 2
Direct
0.0000 0.0000 0.0000 Ca
0.0000 0.0000 0.5000 Zr
0.5000 0.5000 0.2673 Mo
0.5000 0.5000 0.7327 Mo
```

Output
ρ ... 7106 kg/m³
DOS(E_F) ... 4.400 states/eV/cell

#b
First-principles (GGA-PBEsol) data for a relaxed CaZrMo2 crystal, as listed in Alexandria.

Geometry as POSCAR:
```
CaZrMo2
1.0
3.2049 0.0000 0.0000
0.0000 3.2049 0.0000
0.0000 0.0000 8.1454
Ca Zr Mo
1 1 2
Direct
0.0000 0.0000 0.0000 Ca
0.5000 0.5000 0.6453 Zr
0.0000 0.0000 0.4340 Mo
0.5000 0.5000 0.2708 Mo
```

Output
ρ ... 6414 kg/m³
DOS(E_F) ... 4.412 states/eV/cell

From most stable to least stable, the computed energies give #b, #a.

#a
First-principles (GGA-PBEsol) data for a relaxed Ca3N2 crystal, as listed in Alexandria.

Geometry as POSCAR:
```
Ca3N2
1.0
3.8399 0.0000 0.0000
-1.9199 3.3254 0.0000
0.0000 0.0000 6.6238
Ca N
3 2
Direct
0.0000 0.0000 0.0000 Ca
0.3333 0.6667 0.3390 Ca
0.6667 0.3333 0.6610 Ca
0.3333 0.6667 0.7654 N
0.6667 0.3333 0.2346 N
```

Output
ρ ... 2910 kg/m³
DOS(E_F) ... 0.000 states/eV/cell

#b
First-principles (GGA-PBEsol) data for a relaxed Ca3N2 crystal, as listed in Alexandria.

Geometry as POSCAR:
```
Ca3N2
1.0
8.8528 0.0000 0.0000
0.0000 6.1420 0.0000
0.0000 0.0000 6.2845
Ca N
12 8
Direct
0.0000 0.0448 0.2500 Ca
0.0000 0.9552 0.7500 Ca
0.1527 0.3932 0.6050 Ca
0.1527 0.6068 0.1050 Ca
0.3473 0.1068 0.1050 Ca
0.3473 0.8932 0.6050 Ca
0.5000 0.4552 0.7500 Ca
0.5000 0.5448 0.2500 Ca
0.6527 0.1068 0.3950 Ca
0.6527 0.8932 0.8950 Ca
0.8473 0.3932 0.8950 Ca
0.8473 0.6068 0.3950 Ca
0.1121 0.2473 0.9681 N
0.1121 0.7527 0.4681 N
0.3879 0.2527 0.4681 N
0.3879 0.7473 0.9681 N
0.6121 0.2527 0.0319 N
0.6121 0.7473 0.5319 N
0.8879 0.2473 0.5319 N
0.8879 0.7527 0.0319 N
```

Output
ρ ... 2882 kg/m³

From most stable to least stable, the computed energies give #b, #a.

#a
First-principles (GGA-PBEsol) data for a relaxed Ca3N2 crystal, as listed in Alexandria.

Geometry as POSCAR:
```
Ca3N2
1.0
3.0601 1.7667 5.4829
-3.0601 1.7667 5.4829
0.0000 -3.5335 5.4829
Ca N
6 4
Direct
0.0497 0.7500 0.4503 Ca
0.2500 0.5497 0.9503 Ca
0.4503 0.0497 0.7500 Ca
0.5497 0.9503 0.2500 Ca
0.7500 0.4503 0.0497 Ca
0.9503 0.2500 0.5497 Ca
0.1467 0.1467 0.1467 N
0.3533 0.3533 0.3533 N
0.6467 0.6467 0.6467 N
0.8533 0.8533 0.8533 N
```

Output
ρ ... 2768 kg/m³

#b
First-principles (GGA-PBEsol) data for a relaxed Ca3N2 crystal, as listed in Alexandria.

Geometry as POSCAR:
```
Ca3N2
1.0
7.4426 -1.8660 0.0000
7.4426 1.8660 0.0000
-1.6890 0.0000 9.0947
Ca N
9 6
Direct
0.0000 0.0000 0.0000 Ca
0.0312 0.0312 0.6599 Ca
0.2895 0.2895 0.3783 Ca
0.3278 0.3278 0.0349 Ca
0.3738 0.3738 0.7211 Ca
0.6262 0.6262 0.2789 Ca
0.6722 0.6722 0.9651 Ca
0.7105 0.7105 0.6217 Ca
0.9688 0.9688 0.3401 Ca
0.1409 0.1409 0.4877 N
0.1830 0.1830 0.1315 N
0.4694 0.4694 0.1873 N
0.5306 0.5306 0.8127 N
0.8170 0.8170 0.8685 N
0.8591 0.8591 0.5123 N
```

Output
ρ ... 2923 kg/m³

From most stable to least stable, the computed energies give #a, #b.

#a
First-principles (GGA-PBEsol) data for a relaxed CaPbS2N crystal, as listed in Alexandria.

Geometry as POSCAR:
```
CaPbS2N
1.0
5.2077 0.0000 0.0000
0.0000 5.2077 0.0000
0.0000 0.0000 4.4181
Ca Pb S N
1 1 2 1
Direct
0.0000 0.0000 0.0000 Ca
0.5000 0.5000 0.5000 Pb
0.0000 0.5000 0.0000 S
0.5000 0.0000 0.0000 S
0.0000 0.0000 0.5000 N
```

Output
ρ ... 4510 kg/m³
DOS(E_F) ... 3.865 states/eV/cell

#b
First-principles (GGA-PBEsol) data for a relaxed CaPbS2N crystal, as listed in Alexandria.

Geometry as POSCAR:
```
CaPbS2N
1.0
5.1949 0.0000 0.0000
0.0000 5.1949 0.0000
0.0000 0.0000 4.2216
Ca Pb S N
1 1 2 1
Direct
0.0000 0.0000 0.0000 Ca
0.5000 0.5000 0.5000 Pb
0.0000 0.5000 0.5000 S
0.5000 0.0000 0.5000 S
0.5000 0.5000 0.0000 N
```

Output
ρ ... 4743 kg/m³
DOS(E_F) ... 2.115 states/eV/cell

From most stable to least stable, the computed energies give #b, #a.

#a
First-principles (GGA-PBEsol) data for a relaxed CaPdN2 crystal, as listed in Alexandria.

Geometry as POSCAR:
```
CaPdN2
1.0
0.0000 2.8166 2.8166
2.8166 0.0000 2.8166
2.8166 2.8166 0.0000
Ca Pd N
1 1 2
Direct
0.0000 0.0000 0.0000 Ca
0.5000 0.5000 0.5000 Pd
0.2500 0.2500 0.2500 N
0.7500 0.7500 0.7500 N
```

Output
ρ ... 6485 kg/m³
DOS(E_F) ... 2.969 states/eV/cell

#b
First-principles (GGA-PBEsol) data for a relaxed CaPdN2 crystal, as listed in Alexandria.

Geometry as POSCAR:
```
CaPdN2
1.0
1.6751 0.9671 5.9981
-1.6751 0.9671 5.9981
0.0000 -1.9342 5.9981
Ca Pd N
1 1 2
Direct
0.0000 0.0000 0.0000 Ca
0.5000 0.5000 0.5000 Pd
0.1212 0.1212 0.1212 N
0.8788 0.8788 0.8788 N
```

Output
ρ ... 4971 kg/m³
DOS(E_F) ... 2.170 states/eV/cell

From most stable to least stable, the computed energies give #a, #b.

#a
First-principles (GGA-PBEsol) data for a relaxed Ca2WN2 crystal, as listed in Alexandria.

Geometry as POSCAR:
```
Ca2WN2
1.0
5.1999 0.0000 0.0000
2.5709 5.6590 0.0000
2.4079 -1.0697 5.9683
Ca W N
4 2 4
Direct
0.0914 0.0765 0.2185 Ca
0.2938 0.2816 0.6626 Ca
0.7062 0.7184 0.3374 Ca
0.9086 0.9235 0.7815 Ca
0.4187 0.4317 0.1901 W
0.5813 0.5683 0.8099 W
0.1820 0.7108 0.3943 N
0.4156 0.8917 0.7746 N
0.5844 0.1083 0.2254 N
0.8180 0.2892 0.6057 N
```

Output
ρ ... 5522 kg/m³
DOS(E_F) ... 1.929 states/eV/cell

#b
First-principles (GGA-PBEsol) data for a relaxed Ca2WN2 crystal, as listed in Alexandria.

Geometry as POSCAR:
```
Ca2WN2
1.0
5.4366 -2.5447 0.0000
5.4366 2.5447 0.0000
-2.9156 0.0000 5.8269
Ca W N
4 2 4
Direct
0.0241 0.0241 0.2672 Ca
0.3224 0.3224 0.8730 Ca
0.6776 0.6776 0.1270 Ca
0.9759 0.9759 0.7328 Ca
0.3557 0.3557 0.3719 W
0.6443 0.6443 0.6281 W
0.1833 0.1833 0.1140 N
0.4979 0.4979 0.7184 N
0.5021 0.5021 0.2816 N
0.8167 0.8167 0.8860 N
```

Output
ρ ... 6015 kg/m³
DOS(E_F) ... 3.694 states/eV/cell

From most stable to least stable, the computed energies give #b, #a.